No. 1
# CuSbS2N | the Alexandria database | PBE | relaxed
# excess energy over the best structure of this formula in the dataset = 36.1 kJ per mole of atoms
# theoretical density = 4396 kg/m3
data_CuSbS2N
_chemical_formula_sum 'Cu1 Sb1 S2 N1'
_symmetry_space_group_name_H-M 'P 4/m m m'
_symmetry_Int_Tables_number 123
_symmetry_space_group_name_Hall '-P 4 2'
_cell_length_a 5.047
_cell_length_b 5.047
_cell_length_c 3.907
_cell_angle_alpha 90.00
_cell_angle_beta 90.00
_cell_angle_gamma 90.00
loop_
_atom_site_label
_atom_site_type_symbol
_atom_site_fract_x
_atom_site_fract_y
_atom_site_fract_z
_atom_site_occupancy
Cu1 Cu 0.000 0.000 0.000 1
Sb1 Sb 0.500 0.500 0.500 1
S1 S 0.000 0.500 0.500 1
N1 N 0.500 0.500 0.000 1

***

No. 2
# ScCuS2N | the Alexandria database | PBE | relaxed
# excess energy over the best structure of this formula in the dataset = 30.9 kJ per mole of atoms
# theoretical density = 3143 kg/m3
data_ScCuS2N
_chemical_formula_sum 'Sc1 Cu1 S2 N1'
_symmetry_space_group_name_H-M 'P 4/m m m'
_symmetry_Int_Tables_number 123
_symmetry_space_group_name_Hall '-P 4 2'
_cell_length_a 4.936
_cell_length_b 4.936
_cell_length_c 4.046
_cell_angle_alpha 90.00
_cell_angle_beta 90.00
_cell_angle_gamma 90.00
loop_
_atom_site_label
_atom_site_type_symbol
_atom_site_fract_x
_atom_site_fract_y
_atom_site_fract_z
_atom_site_occupancy
Sc1 Sc 0.000 0.000 0.000 1
Cu1 Cu 0.500 0.500 0.500 1
S1 S 0.000 0.500 0.000 1
N1 N 0.000 0.000 0.500 1

***

No. 3
# ScCuSN2 | the Alexandria database | PBE | relaxed
# excess energy over the best structure of this formula in the dataset = 27.9 kJ per mole of atoms
# theoretical density = 3209 kg/m3
data_ScCuSN2
_chemical_formula_sum 'Sc1 Cu1 S1 N2'
_symmetry_space_group_name_H-M 'P 4/m m m'
_symmetry_Int_Tables_number 123
_symmetry_space_group_name_Hall '-P 4 2'
_cell_length_a 4.112
_cell_length_b 4.112
_cell_length_c 5.159
_cell_angle_alpha 90.00
_cell_angle_beta 90.00
_cell_angle_gamma 90.00
loop_
_atom_site_label
_atom_site_type_symbol
_atom_site_fract_x
_atom_site_fract_y
_atom_site_fract_z
_atom_site_occupancy
Sc1 Sc 0.000 0.000 0.000 1
Cu1 Cu 0.500 0.500 0.500 1
S1 S 0.000 0.000 0.500 1
N1 N 0.000 0.500 0.000 1

***

No. 4
# ScCuS2N | the Alexandria database | PBE | relaxed
# excess energy over the best structure of this formula in the dataset = 0.0 kJ per mole of atoms
# theoretical density = 3998 kg/m3
data_ScCuS2N
_chemical_formula_sum 'Sc1 Cu1 S2 N1'
_symmetry_space_group_name_H-M 'P 4/m m m'
_symmetry_Int_Tables_number 123
_symmetry_space_group_name_Hall '-P 4 2'
_cell_length_a 4.612
_cell_length_b 4.612
_cell_length_c 3.644
_cell_angle_alpha 90.00
_cell_angle_beta 90.00
_cell_angle_gamma 90.00
loop_
_atom_site_label
_atom_site_type_symbol
_atom_site_fract_x
_atom_site_fract_y
_atom_site_fract_z
_atom_site_occupancy
Sc1 Sc 0.000 0.000 0.000 1
Cu1 Cu 0.500 0.500 0.500 1
S1 S 0.000 0.500 0.500 1
N1 N 0.500 0.500 0.000 1

***

No. 5
# ScCuSN2 | the Alexandria database | PBE | relaxed
# excess energy over the best structure of this formula in the dataset = 0.0 kJ per mole of atoms
# theoretical density = 4272 kg/m3
data_ScCuSN2
_chemical_formula_sum 'Sc1 Cu1 S1 N2'
_symmetry_space_group_name_H-M 'P 4/m m m'
_symmetry_Int_Tables_number 123
_symmetry_space_group_name_Hall '-P 4 2'
_cell_length_a 3.786
_cell_length_b 3.786
_cell_length_c 4.571
_cell_angle_alpha 90.00
_cell_angle_beta 90.00
_cell_angle_gamma 90.00
loop_
_atom_site_label
_atom_site_type_symbol
_atom_site_fract_x
_atom_site_fract_y
_atom_site_fract_z
_atom_site_occupancy
Sc1 Sc 0.000 0.000 0.000 1
Cu1 Cu 0.500 0.500 0.500 1
S1 S 0.500 0.500 0.000 1
N1 N 0.000 0.500 0.500 1

***

No. 6
# CuSiSN2 | the Alexandria database | PBE | relaxed
# excess energy over the best structure of this formula in the dataset = 101.6 kJ per mole of atoms
# theoretical density = 3461 kg/m3
data_CuSiSN2
_chemical_formula_sum 'Cu1 Si1 S1 N2'
_symmetry_space_group_name_H-M 'P 4/m m m'
_symmetry_Int_Tables_number 123
_symmetry_space_group_name_Hall '-P 4 2'
_cell_length_a 3.685
_cell_length_b 3.685
_cell_length_c 5.359
_cell_angle_alpha 90.00
_cell_angle_beta 90.00
_cell_angle_gamma 90.00
loop_
_atom_site_label
_atom_site_type_symbol
_atom_site_fract_x
_atom_site_fract_y
_atom_site_fract_z
_atom_site_occupancy
Cu1 Cu 0.000 0.000 0.000 1
Si1 Si 0.500 0.500 0.500 1
S1 S 0.000 0.000 0.500 1
N1 N 0.000 0.500 0.000 1